Computed, not measured: a geometry-optimized Tl3CoAg2F9 structure at the PBE+U level of DFT.

Lattice parameters (Å, degrees): 6.288 6.288 8.309 90.00 90.00 120.00
Site moments in Bohr magnetons follow the coordinates.
Element x y z (fractional)
Tl 0.333 0.667 0.527  0.01
Tl 0.000 0.000 0.000  0.00
Tl 0.667 0.333 0.473  0.01
Co 0.000 0.000 0.500  0.03
Ag 0.333 0.667 0.858  0.27
Ag 0.667 0.333 0.142  0.27
F 0.860 0.140 0.632  0.01
F 0.860 0.720 0.632  0.01
F 0.280 0.140 0.632  0.01
F 0.720 0.860 0.368  0.01
F 0.140 0.280 0.368  0.01
F 0.140 0.860 0.368  0.01
F 0.500 0.000 0.000  0.13
F 0.000 0.500 0.000  0.13
F 0.500 0.500 0.000  0.13

Output
Space group: P-3m1
D(E_F) in states/eV/atom: 0.50
Calculated density in g/cm3: 6.18
Crystal system: trigonal
DFT total energy in eV per atom: -3.81